No. 1
Computed, not measured: CoPtC2 after structural relaxation at the PBE level of DFT.

a b c (Å): 5.3399 5.3399 5.3399
angles (deg): 90.00 90.00 90.00
Space group Fm-3m (No. 225)
Inequivalent atoms, fractional coordinates:
Co: 0.0000 0.0000 0.0000
Pt: 0.0000 0.0000 0.5000
C: 0.2500 0.2500 0.2500

Output
uncorrected energy = -6.256 eV per atom
spin magnetization = 6.9 μB per cell
formation energy from the elements = 1.64 eV per atom

***

No. 2
Computed, not measured: Co2PtC after structural relaxation at the PBE level of DFT.

a b c (Å): 6.0548 6.0548 4.8590
angles (deg): 90.00 90.00 90.00
Space group I-42d (No. 122)
Inequivalent atoms, fractional coordinates:
Co: 0.1498 0.2500 0.1250
Pt: 0.0000 0.0000 0.5000
C: 0.0000 0.0000 0.0000

Output
uncorrected energy = -7.022 eV per atom
spin magnetization = 6.9 μB per cell
formation energy from the elements = 0.35 eV per atom